Compound: TlSbAu
Source: OQMD via LeMat-Bulk
Functional: PBE-GGA
Structure: optimized geometry

Lattice parameters (Å, degrees): 6.6709 14.6879 6.6365 90.00 90.00 90.00
Space group Pna2_1 (No. 33)
Unique sites:
Tl 0.0822 0.2046 0.0000 [4 per cell]
Tl 0.1250 0.9667 0.2740 [4 per cell]
Sb 0.1066 0.4283 0.2661 [4 per cell]
Sb 0.1516 0.6810 0.0199 [4 per cell]
Au 0.0366 0.6085 0.3853 [4 per cell]
Au 0.0379 0.8578 0.9102 [4 per cell]

Results
The value obtained for the total energy is -80.4 eV/cell. The value obtained for the relative energy among the computed polymorphs is 0.000 eV per atom. The value obtained for the density is 10.69 g/cm3.

=====

Compound: LiNbNiBi
Source: OQMD via LeMat-Bulk
Functional: PBE-GGA
Structure: optimized geometry

Lattice parameters (Å, degrees): 6.4557 6.4557 6.4557 90.00 90.00 90.00
Space group F-43m (No. 216)
Unique sites:
Li 0.0000 0.0000 0.0000 [4 per cell]
Nb 0.2500 0.2500 0.7500 [4 per cell]
Ni 0.0000 0.0000 0.5000 [4 per cell]
Bi 0.2500 0.2500 0.2500 [4 per cell]

Results
The value obtained for the total energy is -81.9 eV/cell. The value obtained for the relative energy among the computed polymorphs is 0.000 eV per atom. The value obtained for the density is 9.07 g/cm3.

=====

Compound: CuMoPdAu
Source: OQMD via LeMat-Bulk
Functional: PBE-GGA
Structure: optimized geometry

Lattice parameters (Å, degrees): 6.2556 6.2556 6.2556 90.00 90.00 90.00
Space group F-43m (No. 216)
Unique sites:
Cu 0.0000 0.0000 0.0000 [4 per cell]
Mo 0.2500 0.2500 0.7500 [4 per cell]
Pd 0.2500 0.2500 0.2500 [4 per cell]
Au 0.0000 0.0000 0.5000 [4 per cell]

Results
The value obtained for the total energy is -88.1 eV/cell. The value obtained for the relative energy among the computed polymorphs is 0.022 eV per atom. The value obtained for the density is 12.56 g/cm3. For the formation energy, the calculation gives 1.0 eV per formula unit.